<A>
# ZnCu2Cl

ZnCu2Cl at its PBEsol-relaxed geometry (meta-GGA SCAN, Alexandria).

Cell and atoms, written as CIF:
```
data_ZnCu2Cl
_symmetry_space_group_name_H-M 'P 1'
_symmetry_Int_Tables_number 1
_symmetry_space_group_name_Hall 'P 1'
_cell_length_a 5.0161
_cell_length_b 5.0161
_cell_length_c 5.0161
_cell_angle_alpha 147.38
_cell_angle_beta 115.78
_cell_angle_gamma 73.91
loop_
_atom_site_label
_atom_site_fract_x
_atom_site_fract_y
_atom_site_fract_z
Zn1 0.0000 0.0000 0.0000
Cu1 0.2538 0.7538 0.5000
Cu2 0.7462 0.2462 0.5000
Cl1 0.5000 0.5000 0.0000
```

---

<B>
# ZnCu2Cl

ZnCu2Cl at its PBEsol-relaxed geometry (meta-GGA SCAN, Alexandria).

Cell and atoms, written as CIF:
```
data_ZnCu2Cl
_symmetry_space_group_name_H-M 'P 1'
_symmetry_Int_Tables_number 1
_symmetry_space_group_name_Hall 'P 1'
_cell_length_a 5.7680
_cell_length_b 5.7680
_cell_length_c 5.7680
_cell_angle_alpha 145.74
_cell_angle_beta 145.74
_cell_angle_gamma 49.23
loop_
_atom_site_label
_atom_site_fract_x
_atom_site_fract_y
_atom_site_fract_z
Zn1 0.0000 0.0000 0.0000
Cu1 0.2500 0.7500 0.5000
Cu2 0.5000 0.5000 0.0000
Cl1 0.7500 0.2500 0.5000
```

---

Least stable: <B>

---

<A>
# InClF2

InClF2 at its PBEsol-relaxed geometry (meta-GGA SCAN, Alexandria).

Cell and atoms, written as CIF:
```
data_InClF2
_symmetry_space_group_name_H-M 'P 1'
_symmetry_Int_Tables_number 1
_symmetry_space_group_name_Hall 'P 1'
_cell_length_a 4.1977
_cell_length_b 4.1977
_cell_length_c 4.1977
_cell_angle_alpha 60.00
_cell_angle_beta 60.00
_cell_angle_gamma 60.00
loop_
_atom_site_label
_atom_site_fract_x
_atom_site_fract_y
_atom_site_fract_z
In1 0.0000 0.0000 0.0000
Cl1 0.5000 0.5000 0.5000
F1 0.2500 0.2500 0.2500
F2 0.7500 0.7500 0.7500
```

---

<B>
# InClF2

InClF2 at its PBEsol-relaxed geometry (meta-GGA SCAN, Alexandria).

Cell and atoms, written as CIF:
```
data_InClF2
_symmetry_space_group_name_H-M 'P 1'
_symmetry_Int_Tables_number 1
_symmetry_space_group_name_Hall 'P 1'
_cell_length_a 5.6501
_cell_length_b 5.6501
_cell_length_c 5.9945
_cell_angle_alpha 108.10
_cell_angle_beta 108.10
_cell_angle_gamma 108.78
loop_
_atom_site_label
_atom_site_fract_x
_atom_site_fract_y
_atom_site_fract_z
In1 0.1570 0.8430 0.5000
In2 0.8430 0.1570 0.0000
Cl1 0.4243 0.6959 0.8025
Cl2 0.6959 0.4243 0.3025
F1 0.0447 0.0468 0.7774
F2 0.0468 0.0447 0.2774
F3 0.1738 0.5661 0.1783
F4 0.5661 0.1738 0.6783
```

---

Least stable: <A>

---

<A>
# ScIr2ClF

ScIr2ClF at its PBEsol-relaxed geometry (meta-GGA SCAN, Alexandria).

Cell and atoms, written as CIF:
```
data_ScIr2ClF
_symmetry_space_group_name_H-M 'P 1'
_symmetry_Int_Tables_number 1
_symmetry_space_group_name_Hall 'P 1'
_cell_length_a 4.3118
_cell_length_b 4.3118
_cell_length_c 4.6403
_cell_angle_alpha 90.00
_cell_angle_beta 90.00
_cell_angle_gamma 90.00
loop_
_atom_site_label
_atom_site_fract_x
_atom_site_fract_y
_atom_site_fract_z
Sc1 0.0000 0.0000 0.0000
Ir1 0.0000 0.5000 0.5000
Ir2 0.5000 0.0000 0.5000
Cl1 0.5000 0.5000 0.5000
F1 0.5000 0.5000 0.0000
```

---

<B>
# ScIr2ClF

ScIr2ClF at its PBEsol-relaxed geometry (meta-GGA SCAN, Alexandria).

Cell and atoms, written as CIF:
```
data_ScIr2ClF
_symmetry_space_group_name_H-M 'P 1'
_symmetry_Int_Tables_number 1
_symmetry_space_group_name_Hall 'P 1'
_cell_length_a 4.0312
_cell_length_b 4.0312
_cell_length_c 4.9871
_cell_angle_alpha 90.00
_cell_angle_beta 90.00
_cell_angle_gamma 90.00
loop_
_atom_site_label
_atom_site_fract_x
_atom_site_fract_y
_atom_site_fract_z
Sc1 0.0000 0.0000 0.0000
Ir1 0.0000 0.5000 0.5000
Ir2 0.5000 0.0000 0.5000
Cl1 0.5000 0.5000 0.0000
F1 0.5000 0.5000 0.5000
```

---

Least stable: <A>

---

<A>
# TiP2ClF

TiP2ClF at its PBEsol-relaxed geometry (meta-GGA SCAN, Alexandria).

Cell and atoms, written as CIF:
```
data_TiP2ClF
_symmetry_space_group_name_H-M 'P 1'
_symmetry_Int_Tables_number 1
_symmetry_space_group_name_Hall 'P 1'
_cell_length_a 3.9961
_cell_length_b 3.9961
_cell_length_c 4.9525
_cell_angle_alpha 90.00
_cell_angle_beta 90.00
_cell_angle_gamma 90.00
loop_
_atom_site_label
_atom_site_fract_x
_atom_site_fract_y
_atom_site_fract_z
Ti1 0.0000 0.0000 0.0000
P1 0.0000 0.5000 0.5000
P2 0.5000 0.0000 0.5000
Cl1 0.5000 0.5000 0.0000
F1 0.5000 0.5000 0.5000
```

---

<B>
# TiP2ClF

TiP2ClF at its PBEsol-relaxed geometry (meta-GGA SCAN, Alexandria).

Cell and atoms, written as CIF:
```
data_TiP2ClF
_symmetry_space_group_name_H-M 'P 1'
_symmetry_Int_Tables_number 1
_symmetry_space_group_name_Hall 'P 1'
_cell_length_a 4.6504
_cell_length_b 4.6504
_cell_length_c 4.5742
_cell_angle_alpha 90.00
_cell_angle_beta 90.00
_cell_angle_gamma 90.00
loop_
_atom_site_label
_atom_site_fract_x
_atom_site_fract_y
_atom_site_fract_z
Ti1 0.0000 0.0000 0.0000
P1 0.0000 0.5000 0.0000
P2 0.5000 0.0000 0.0000
Cl1 0.0000 0.0000 0.5000
F1 0.5000 0.5000 0.5000
```

---

Least stable: <A>

---

<A>
# SnClF

SnClF at its PBEsol-relaxed geometry (meta-GGA SCAN, Alexandria).

Cell and atoms, written as CIF:
```
data_SnClF
_symmetry_space_group_name_H-M 'P 1'
_symmetry_Int_Tables_number 1
_symmetry_space_group_name_Hall 'P 1'
_cell_length_a 6.1413
_cell_length_b 4.2723
_cell_length_c 9.8828
_cell_angle_alpha 90.00
_cell_angle_beta 90.00
_cell_angle_gamma 90.00
loop_
_atom_site_label
_atom_site_fract_x
_atom_site_fract_y
_atom_site_fract_z
Sn1 0.2189 0.2500 0.0892
Sn2 0.2811 0.7500 0.5892
Sn3 0.7189 0.2500 0.4108
Sn4 0.7811 0.7500 0.9108
Cl1 0.0919 0.7500 0.3574
Cl2 0.4081 0.2500 0.8574
Cl3 0.5919 0.7500 0.1426
Cl4 0.9081 0.2500 0.6426
F1 0.1083 0.7500 0.0166
F2 0.3917 0.2500 0.5166
F3 0.6083 0.7500 0.4834
F4 0.8917 0.2500 0.9834
```

---

<B>
# SnClF

SnClF at its PBEsol-relaxed geometry (meta-GGA SCAN, Alexandria).

Cell and atoms, written as CIF:
```
data_SnClF
_symmetry_space_group_name_H-M 'P 1'
_symmetry_Int_Tables_number 1
_symmetry_space_group_name_Hall 'P 1'
_cell_length_a 3.9691
_cell_length_b 3.9691
_cell_length_c 7.2204
_cell_angle_alpha 90.00
_cell_angle_beta 90.00
_cell_angle_gamma 90.00
loop_
_atom_site_label
_atom_site_fract_x
_atom_site_fract_y
_atom_site_fract_z
Sn1 0.2500 0.2500 0.2049
Sn2 0.7500 0.7500 0.7951
Cl1 0.2500 0.2500 0.6506
Cl2 0.7500 0.7500 0.3494
F1 0.2500 0.7500 0.0000
F2 0.7500 0.2500 0.0000
```

---

Least stable: <B>

---

<A>
# FeHgCl2

FeHgCl2 at its PBEsol-relaxed geometry (meta-GGA SCAN, Alexandria).

Cell and atoms, written as CIF:
```
data_FeHgCl2
_symmetry_space_group_name_H-M 'P 1'
_symmetry_Int_Tables_number 1
_symmetry_space_group_name_Hall 'P 1'
_cell_length_a 9.3501
_cell_length_b 9.3501
_cell_length_c 9.3501
_cell_angle_alpha 20.72
_cell_angle_beta 20.72
_cell_angle_gamma 20.72
loop_
_atom_site_label
_atom_site_fract_x
_atom_site_fract_y
_atom_site_fract_z
Fe1 0.0000 0.0000 0.0000
Hg1 0.5000 0.5000 0.5000
Cl1 0.2811 0.2811 0.2811
Cl2 0.7189 0.7189 0.7189
```

---

<B>
# FeHgCl2

FeHgCl2 at its PBEsol-relaxed geometry (meta-GGA SCAN, Alexandria).

Cell and atoms, written as CIF:
```
data_FeHgCl2
_symmetry_space_group_name_H-M 'P 1'
_symmetry_Int_Tables_number 1
_symmetry_space_group_name_Hall 'P 1'
_cell_length_a 3.3630
_cell_length_b 3.3630
_cell_length_c 8.5940
_cell_angle_alpha 90.00
_cell_angle_beta 90.00
_cell_angle_gamma 118.21
loop_
_atom_site_label
_atom_site_fract_x
_atom_site_fract_y
_atom_site_fract_z
Fe1 0.0000 0.0000 0.0000
Hg1 0.5000 0.5000 0.7647
Cl1 0.0000 0.0000 0.5458
Cl2 0.5000 0.5000 0.1740
```

---

Least stable: <B>